Below is an optimized crystal structure of CsB3P, with properties calculated at the PBE level.

abc: 4.2184 4.2184 4.2184
angles: 90.00 90.00 90.00
Fractional coordinates of all 5 atoms:
Cs  0.0000  0.0000  0.0000
B  0.0000  0.5000  0.5000
B  0.5000  0.0000  0.5000
B  0.5000  0.5000  0.0000
P  0.5000  0.5000  0.5000

Properties
E_form: 1.832 eV/atom
theoretical density: 4.34 g/cm3
crystal system: cubic
E: -3.4275 eV per atom
magnetic moment: 0.000 μB/f.u.
ΔE to the lowest computed polymorph: 0.000 eV per atom

=====

Below is an optimized crystal structure of CsBP, with properties calculated at the PBE level.

abc: 7.8674 6.0566 6.6180
angles: 90.00 111.64 90.00
Fractional coordinates of all 12 atoms:
Cs  0.1829  0.1137  0.3465
Cs  0.1829  0.3863  0.8465
Cs  0.8171  0.6137  0.1535
Cs  0.8171  0.8863  0.6535
B  0.4374  0.6448  0.6206
B  0.4374  0.8552  0.1206
B  0.5626  0.1448  0.8794
B  0.5626  0.3552  0.3794
P  0.4220  0.6295  0.3199
P  0.4220  0.8705  0.8199
P  0.5780  0.1295  0.1801
P  0.5780  0.3705  0.6801

Properties
E_form: -0.019 eV/atom
theoretical density: 3.96 g/cm3
crystal system: monoclinic
E: -4.3331 eV per atom
magnetic moment: 0.000 μB/f.u.
ΔE to the lowest computed polymorph: 0.010 eV per atom